Entry 1:
{"formula": "NdMoRu", "functional": "PBE", "state": "optimized geometry", "cell": [[6.9363, 0.0000, 0.0000], [0.0000, 6.9363, 0.0000], [0.0000, 0.0000, 6.0539]], "species": ["Nd", "Nd", "Nd", "Nd", "Mo", "Mo", "Mo", "Mo", "Ru", "Ru", "Ru", "Ru"], "frac_coords": [[0.2437, 0.2437, 0.0000], [0.2563, 0.7437, 0.2500], [0.7437, 0.2563, 0.7500], [0.7563, 0.7563, 0.5000], [0.1932, 0.8068, 0.7500], [0.3068, 0.3068, 0.5000], [0.6932, 0.6932, 0.0000], [0.8068, 0.1932, 0.2500], [0.0547, 0.0547, 0.5000], [0.4453, 0.5547, 0.7500], [0.5547, 0.4453, 0.2500], [0.9453, 0.9453, 0.0000]], "delta_e_f_ev_per_atom": 0.52, "mass_density_g_cm3": 7.782, "sg": "P4_12_12 (92)", "final_energy_ev_per_atom": -7.77}

Entry 2:
{"formula": "CdTcRh2", "functional": "PBE", "state": "optimized geometry", "cell": [[2.7738, 0.0000, 0.0000], [0.0000, 2.7738, 0.0000], [0.0000, 0.0000, 8.0923]], "species": ["Cd", "Tc", "Rh", "Rh"], "frac_coords": [[0.0000, 0.0000, 0.0000], [0.5000, 0.5000, 0.7217], [0.0000, 0.0000, 0.4999], [0.5000, 0.5000, 0.2605]], "delta_e_f_ev_per_atom": 0.12, "mass_density_g_cm3": 11.101, "sg": "P4mm (99)", "final_energy_ev_per_atom": -6.37}

Entry 3:
{"formula": "K3Si", "functional": "PBE", "state": "optimized geometry", "cell": [[3.9214, -6.9895, 0.0000], [3.9214, 6.9895, 0.0000], [0.0000, 0.0000, 6.0047]], "species": ["K", "K", "K", "K", "K", "K", "Si", "Si"], "frac_coords": [[0.1869, 0.3647, 0.7500], [0.1905, 0.8095, 0.7500], [0.3647, 0.1869, 0.2500], [0.6353, 0.8131, 0.7500], [0.8095, 0.1905, 0.2500], [0.8131, 0.6353, 0.2500], [0.3393, 0.6607, 0.2500], [0.6607, 0.3393, 0.7500]], "raw_formation_energy_kj_per_mol_atoms": 30, "e_above_lowest_polymorph_ev_per_atom": 0.242, "mass_density_g_cm3": 1.467, "sg": "Cmcm (63)", "final_energy_ev_per_atom": -1.87}

Entry 4:
{"formula": "HgSbAu2", "functional": "PBE", "state": "optimized geometry", "cell": [[-2.1435, 2.1435, 4.6550], [2.1435, -2.1435, 4.6550], [2.1435, 2.1435, -4.6550]], "species": ["Hg", "Sb", "Au", "Au"], "frac_coords": [[0.0000, 0.0000, 0.0000], [0.2500, 0.7500, 0.5000], [0.5000, 0.5000, 0.0000], [0.7500, 0.2500, 0.5000]], "raw_formation_energy_kj_per_mol_atoms": 12, "e_above_lowest_polymorph_ev_per_atom": 0.106, "mass_density_g_cm3": 13.902, "sg": "I-4m2 (119)", "final_energy_ev_per_atom": -2.62}